# 1
VASP calculation (PBEsol) on a geometry-optimized AgB2Br structure.

a = 6.0010 Å, b = 6.0010 Å, c = 6.0010 Å
α = 127.34°, β = 127.34°, γ = 77.70°
With the nearest neighbours (Å) after each atom.
Sites, in units of the cell vectors:
Ag (0.0000, 0.0000, 0.0000)  4 B 2.13
Ag (0.7500, 0.2500, 0.5000)  4 B 2.13
B (0.0970, 0.1250, 0.4720)  2 Ag 2.13, 2 Br 2.31
B (0.3750, 0.9030, 0.0280)  2 Ag 2.13, 2 Br 2.31
B (0.6530, 0.6250, 0.5280)  2 Ag 2.13, 2 Br 2.31
B (0.8750, 0.3470, 0.9720)  2 Ag 2.13, 2 Br 2.31
Br (0.2500, 0.7500, 0.5000)  4 B 2.31
Br (0.5000, 0.5000, 0.0000)  4 B 2.31

Computed properties:
formation energy without anion corrections	1412	meV per atom
crystal system	tetragonal

# 2
VASP calculation (PBEsol) on a geometry-optimized LiCu2Ir structure.

a = 4.0686 Å, b = 4.0686 Å, c = 4.0686 Å
α = 60.00°, β = 60.00°, γ = 60.00°
With the nearest neighbours (Å) after each atom.
Sites, in units of the cell vectors:
Li (0.0000, 0.0000, 0.0000)  4 Ir 2.49, 4 Cu 2.49
Cu (0.2500, 0.2500, 0.2500)  4 Li 2.49, 4 Cu 2.49
Cu (0.5000, 0.5000, 0.5000)  4 Ir 2.49, 4 Cu 2.49
Ir (0.7500, 0.7500, 0.7500)  4 Li 2.49, 4 Cu 2.49

Computed properties:
formation energy from the elements	15.8	kJ per mole of atoms
crystal system	cubic

# 3
VASP calculation (PBEsol) on a geometry-optimized TaTeBr9 structure.

a = 6.6977 Å, b = 11.5518 Å, c = 9.9486 Å
α = 90.00°, β = 104.15°, γ = 90.00°
With the nearest neighbours (Å) after each atom.
Sites, in units of the cell vectors:
Ta (0.1441, 0.2500, 0.1405)  6 Br 2.43-2.62
Ta (0.8559, 0.7500, 0.8595)  6 Br 2.43-2.62
Te (0.2608, 0.2500, 0.5367)  3 Br 2.54
Te (0.7392, 0.7500, 0.4633)  3 Br 2.54
Br (0.0315, 0.7500, 0.3423)  1 Te 2.54
Br (0.0423, 0.0989, 0.3082)  1 Ta 2.62
Br (0.0423, 0.4011, 0.3082)  1 Ta 2.62
Br (0.2083, 0.7500, 0.9990)  1 Ta 2.43
Br (0.2638, 0.0930, 0.0178)  1 Ta 2.43
Br (0.2638, 0.4070, 0.0178)  1 Ta 2.43
Br (0.4647, 0.0862, 0.6758)  1 Te 2.54
Br (0.4647, 0.4138, 0.6758)  1 Te 2.54
Br (0.4995, 0.2500, 0.3225)  1 Ta 2.61
Br (0.5005, 0.7500, 0.6775)  1 Ta 2.61
Br (0.5353, 0.5861, 0.3242)  1 Te 2.54
Br (0.5353, 0.9138, 0.3242)  1 Te 2.54
Br (0.7362, 0.5930, 0.9822)  1 Ta 2.43
Br (0.7362, 0.9070, 0.9822)  1 Ta 2.43
Br (0.7917, 0.2500, 0.0010)  1 Ta 2.43
Br (0.9577, 0.5989, 0.6918)  1 Ta 2.62
Br (0.9577, 0.9011, 0.6918)  1 Ta 2.62
Br (0.9685, 0.2500, 0.6577)  1 Te 2.54

Computed properties:
formation energy without anion corrections	-632	meV per atom
crystal system	monoclinic

# 4
VASP calculation (PBEsol) on a geometry-optimized YBr2 structure.

a = 6.9010 Å, b = 6.9010 Å, c = 9.7507 Å
α = 127.82°, β = 127.82°, γ = 31.80°
With the nearest neighbours (Å) after each atom.
Sites, in units of the cell vectors:
Y (0.0749, 0.0749, 0.3911)  5 Br 2.76-2.87
Y (0.9251, 0.9251, 0.6089)  5 Br 2.76-2.87
Br (0.2556, 0.2556, 0.3302)  3 Y 2.82-2.87
Br (0.4232, 0.4232, 0.1278)  2 Y 2.76
Br (0.5768, 0.5768, 0.8722)  2 Y 2.76
Br (0.7444, 0.7444, 0.6698)  3 Y 2.82-2.87

Computed properties:
formation energy without anion corrections	-1496	meV per atom
crystal system	monoclinic

Number 1: DOS(E_F) 0.81 states/eV/cell. Number 2: DOS(E_F) 5.58 states/eV/cell. Number 3: DOS(E_F) 0.00 states/eV/cell. Number 4: DOS(E_F) 3.05 states/eV/cell.